MgCoAs2Os: single point on PBEsol structure, SCAN.

Geometry as POSCAR:
```
MgCoAs2Os
1.0
4.728 0.000 0.000
0.000 4.678 0.000
0.000 0.000 4.678
As Co Os Mg
2 1 1 1
Cartesian
0.000 2.339 0.000 As
0.000 0.000 2.339 As
2.364 0.000 0.000 Co
0.000 0.000 0.000 Os
2.364 2.339 2.339 Mg
```

density of states at the Fermi level	3.30	states/eV/f.u.
symmetry	P4/mmm, No. 123
total magnetization	2.15	μB/f.u.
E_form	661	meV/atom

---

CoMoAs2: single point on PBEsol structure, SCAN.

Geometry as POSCAR:
```
CoMoAs2
1.0
-0.181 3.189 -0.702
-1.597 -0.700 -2.767
-4.616 0.307 2.586
As Co Mo
2 1 1
Cartesian
-4.491 0.299 2.516 As
-2.304 1.339 -0.941 As
-2.031 0.135 1.138 Co
-4.492 1.484 0.284 Mo
```

density of states at the Fermi level	1.30	states/eV/f.u.
symmetry	P4mm, No. 99
total magnetization	1.14	μB/f.u.
E_form	-43	meV/atom

---

CoMoAs2Se: single point on PBEsol structure, SCAN.

Geometry as POSCAR:
```
CoMoAs2Se
1.0
-1.003 -4.260 -0.163
4.207 -1.016 0.666
-0.739 -0.004 4.662
As Co Se Mo
2 1 1 1
Cartesian
2.104 -0.508 0.333 As
-0.501 -2.130 -0.081 As
0.000 0.000 0.000 Co
-0.370 -0.002 2.331 Se
1.233 -2.640 2.583 Mo
```

density of states at the Fermi level	2.93	states/eV/f.u.
symmetry	P4/mmm, No. 123
ΔE_f (raw)	742	meV/atom
total magnetization	2.03	μB/f.u.

---

CoAs3N: single point on PBEsol structure, SCAN.

Geometry as POSCAR:
```
CoAs3N
1.0
-3.375 -1.895 1.586
-0.664 -1.890 -3.672
2.380 -3.214 1.224
As Co N
3 1 1
Cartesian
1.190 -1.607 0.612 As
-0.332 -0.945 -1.836 As
-1.688 -0.948 0.793 As
-0.829 -3.500 -0.431 Co
0.000 0.000 0.000 N
```

density of states at the Fermi level	1.84	states/eV/f.u.
symmetry	Pm-3m, No. 221
ΔE_f (raw)	982	meV/atom
total magnetization	1.38	μB/f.u.

---

CoReAs2N: single point on PBEsol structure, SCAN.

Geometry as POSCAR:
```
CoReAs2N
1.0
-1.085 3.885 1.144
-0.136 -1.219 4.010
4.688 1.159 0.511
As N Re Co
2 1 1 1
Cartesian
-0.543 1.942 0.572 As
-0.068 -0.609 2.005 As
1.733 1.913 2.832 N
2.344 0.580 0.256 Re
0.000 0.000 0.000 Co
```

density of states at the Fermi level	2.89	states/eV/f.u.
symmetry	P4/mmm, No. 123
ΔE_f (raw)	1927	meV/atom
total magnetization	2.47	μB/f.u.

---

CoAsS2N: single point on PBEsol structure, SCAN.

Geometry as POSCAR:
```
CoAsS2N
1.0
-0.298 -3.467 -0.477
3.553 -0.727 3.063
-3.122 -0.222 3.568
Co S As N
1 2 1 1
Cartesian
0.066 -2.208 3.077 Co
1.776 -0.363 1.532 S
-1.561 -0.111 1.784 S
0.000 0.000 0.000 As
-0.149 -1.733 -0.238 N
```

density of states at the Fermi level	1.63	states/eV/f.u.
symmetry	P4/mmm, No. 123
ΔE_f (raw)	981	meV/atom
total magnetization	3.36	μB/f.u.

---

- What is the density of states at the Fermi level in the fourth record?
  1.84 states/eV/f.u.

---

- Number 3 is which compound?
  CoMoAs2Se

---

What did the sixth record say?
CoAsS2N: single point on PBEsol structure, SCAN.

Geometry as POSCAR:
```
CoAsS2N
1.0
-0.298 -3.467 -0.477
3.553 -0.727 3.063
-3.122 -0.222 3.568
Co S As N
1 2 1 1
Cartesian
0.066 -2.208 3.077 Co
1.776 -0.363 1.532 S
-1.561 -0.111 1.784 S
0.000 0.000 0.000 As
-0.149 -1.733 -0.238 N
```

density of states at the Fermi level	1.63	states/eV/f.u.
symmetry	P4/mmm, No. 123
ΔE_f (raw)	981	meV/atom
total magnetization	3.36	μB/f.u.

---

- Look up the density of states at the Fermi level of the third one.
  2.93 states/eV/f.u.